{"formula": "Mn2FeHg", "functional": "meta-GGA SCAN", "state": "PBEsol geometry", "lattice": [[2.800, 0.000, 0.000], [0.000, 3.190, 0.000], [0.000, 0.000, 5.837]], "species": ["Mn", "Mn", "Fe", "Hg"], "fractional_positions": [[0.000, 0.000, 0.000], [0.500, 0.500, 0.191], [0.000, 0.000, 0.393], [0.500, 0.500, 0.692]], "magmom_total_mub_per_atom": 1.391, "formation_enthalpy_0k_kj_per_mol_fu": 107, "dft_energy_ev_per_atom": -30.425}



{"formula": "ZrMnFeHg2", "functional": "meta-GGA SCAN", "state": "PBEsol geometry", "lattice": [[5.361, 0.000, 0.000], [0.000, 5.361, 0.000], [0.000, 0.000, 4.501]], "species": ["Zr", "Mn", "Fe", "Hg", "Hg"], "fractional_positions": [[0.000, 0.000, 0.000], [0.000, 0.000, 0.500], [0.500, 0.500, 0.500], [0.000, 0.500, 0.000], [0.500, 0.000, 0.000]], "magmom_total_mub_per_atom": 1.060, "formation_enthalpy_0k_kj_per_mol_fu": 612, "dft_energy_ev_per_atom": -39.415}



{"formula": "FeHgMo2", "functional": "meta-GGA SCAN", "state": "PBEsol geometry", "lattice": [[3.250, 0.000, 0.000], [0.000, 3.250, 0.000], [0.000, 0.000, 5.884]], "species": ["Fe", "Hg", "Mo", "Mo"], "fractional_positions": [[0.000, 0.000, 0.000], [0.000, 0.000, 0.500], [0.500, 0.500, 0.199], [0.500, 0.500, 0.801]], "magmom_total_mub_per_atom": 0.517, "formation_enthalpy_0k_kj_per_mol_fu": 122, "dft_energy_ev_per_atom": -38.702}



{"formula": "FeHg2Mo", "functional": "meta-GGA SCAN", "state": "PBEsol geometry", "lattice": [[-1.459, 2.398, 4.831], [1.459, -2.398, 4.831], [1.459, 2.398, -4.831]], "species": ["Fe", "Hg", "Hg", "Mo"], "fractional_positions": [[0.000, 0.000, 0.000], [0.470, 0.470, 0.000], [0.750, 0.250, 0.500], [0.195, 0.695, 0.500]], "magmom_total_mub_per_atom": 0.669, "formation_enthalpy_0k_kj_per_mol_fu": 212, "dft_energy_ev_per_atom": -46.787}



{"formula": "FeHgMo2", "functional": "meta-GGA SCAN", "state": "PBEsol geometry", "lattice": [[2.676, -4.232, 0.000], [2.676, 4.232, 0.000], [0.000, 0.000, 2.689]], "species": ["Fe", "Hg", "Mo", "Mo"], "fractional_positions": [[0.000, 0.000, 0.000], [0.500, 0.500, 0.000], [0.000, 0.500, 0.500], [0.500, 0.000, 0.500]], "magmom_total_mub_per_atom": 0.721, "formation_enthalpy_0k_kj_per_mol_fu": 183, "dft_energy_ev_per_atom": -38.542}



{"formula": "FeHgN2", "functional": "meta-GGA SCAN", "state": "PBEsol geometry", "lattice": [[1.452, 0.838, 6.187], [-1.452, 0.838, 6.187], [0.000, -1.677, 6.187]], "species": ["Fe", "Hg", "N", "N"], "fractional_positions": [[0.000, 0.000, 0.000], [0.500, 0.500, 0.500], [0.386, 0.386, 0.386], [0.614, 0.614, 0.614]], "magmom_total_mub_per_atom": 0.503, "e_form_raw_mev_per_atom": 413, "dft_energy_ev_per_atom": -25.807}